The following is a PBE-GGA calculation of an optimized crystal structure of Nb6AsS, from Alexandria.

Geometry as CIF:
```
data_Nb6AsS
_chemical_formula_sum 'Nb18 As3 S3'
_cell_length_a 5.8318
_cell_length_b 5.8318
_cell_length_c 15.3889
_cell_angle_alpha 90.00
_cell_angle_beta 90.00
_cell_angle_gamma 120.00
_symmetry_space_group_name_H-M 'R -3'
_symmetry_Int_Tables_number 148
_symmetry_space_group_name_Hall '-R 3'
loop_
_atom_site_label
_atom_site_fract_x
_atom_site_fract_y
_atom_site_fract_z
Nb1 0.0131 0.2874 0.2488
As1 0.0000 0.0000 0.0000
S1 0.0000 0.0000 0.5000
```

Results
uncorrected formation energy = -0.46 eV per formula unit
Fermi-level density of states = 5.4 states/eV/f.u.